Compound: Hf2MoO
Source: the Alexandria database
Functional: PBE with a Hubbard U
Structure: relaxed

Cell lengths 2.9492, 2.9492, 25.8836 Å; angles 90.00, 90.00, 120.00 degrees
Space group R-3m (No. 166, hexagonal axes)
Unique sites:
Hf (0.0000, 0.0000, 0.1061)
Mo (0.0000, 0.0000, 0.0000)
O (0.0000, 0.0000, 0.5000)

Values from the calculation:
spin magnetization = 0.1 μB/f.u.
VASP energy = -8.5096 eV/atom
calculated density = 12.0 g cm⁻³